! BaHg2Pb | OQMD | PBE | optimized geometry; values from VASP
&SYSTEM
  ibrav = 0, nat = 4, ntyp = 3
/
ATOMIC_SPECIES
Ba 137.33 Ba.upf
Hg 200.59 Hg.upf
Pb 207.20 Pb.upf
ATOMIC_POSITIONS crystal
Ba 0.000 0.000 0.000
Hg 0.500 0.500 0.271
Hg 0.500 0.500 0.729
Pb 0.000 0.000 0.500
CELL_PARAMETERS angstrom
4.009 0.000 0.000
0.000 4.009 0.000
0.000 0.000 7.817
! theoretical density	9.9	Mg/m³
! energy relative to the lowest polymorph listed for this composition	0.085	eV/atom
! energy	-1.90	eV per atom